# MnCoSb

Crystalline MnCoSb at its relaxed geometry (GGA-PBE, Alexandria via LeMat-Bulk). Values from VASP.

Properties
Total moment = 4.34 μB/f.u.
Uncorrected formation energy = 0.054 eV/atom
VASP energy = -6.745 eV/atom

Cell and atoms, written as Quantum ESPRESSO input:
```
&SYSTEM
  ibrav = 0, nat = 6, ntyp = 3
/
ATOMIC_SPECIES
Sb 121.76 Sb.upf
Mn 54.94 Mn.upf
Co 58.93 Co.upf
ATOMIC_POSITIONS angstrom
Sb 2.3224 3.2352 2.6281
Sb 5.7663 2.1892 3.9032
Mn 4.7442 2.5092 1.4332
Mn 2.5982 1.1396 0.8375
Co 3.4777 0.8611 3.2560
Co 5.6411 0.2137 1.9663
CELL_PARAMETERS angstrom
6.8530 -0.0331 0.2442
1.1191 3.7067 0.0140
-1.2627 0.3642 3.7160
```